[1]
Here is a relaxed structure of ErSc7Cd4 from Alexandria via LeMat-Bulk. Energies are from PBE-GGA.

POSCAR file:
```
ErSc7Cd4
1.0
5.333 0.000 0.000
2.666 8.024 0.949
2.666 1.066 6.905
Cd Sc Er
4 7 1
Cartesian
7.999 6.333 7.390
2.666 2.757 0.464
5.333 2.969 4.547
5.333 6.122 3.307
7.999 4.158 5.401
5.333 6.445 6.095
2.666 1.430 3.299
2.666 4.932 2.454
2.666 0.000 0.000
7.999 7.661 4.555
5.333 2.646 1.759
0.000 0.000 0.000
```

Summary:
ΔH_f (0 K) in meV per atom: 44
Fermi-level density of states in states/eV/f.u.: 15.79
Volume in Å³ per atom: 24.17
SG: C2/m


[2]
Here is a relaxed structure of Er6CuSe3S2 from Alexandria via LeMat-Bulk. Energies are from PBE-GGA.

POSCAR file:
```
Er6CuSe3S2
1.0
6.875 0.002 0.000
-3.434 5.956 0.000
-1.148 -1.988 6.556
Er S Se Cu
6 2 3 1
Cartesian
-0.019 -0.033 5.027
3.423 2.022 5.039
0.041 3.975 5.039
2.253 -0.004 1.517
-1.129 1.950 1.517
2.313 4.005 1.529
0.015 3.965 0.000
3.427 1.994 0.000
-2.244 3.944 3.278
4.537 0.028 3.278
1.147 1.986 3.278
0.000 0.000 0.000
```

Summary:
Fermi-level density of states in states/eV/f.u.: 4.41
Volume in Å³ per atom: 22.38
Formation energy (no corrections) in meV/atom: -1570
SG: C2/m


[3]
Here is a relaxed structure of Tb4MgCo from Alexandria via LeMat-Bulk. Energies are from PBE-GGA.

POSCAR file:
```
Tb4MgCo
1.0
9.605 0.000 0.000
4.802 8.318 0.000
4.802 2.773 7.842
Co Tb Mg
4 16 4
Cartesian
2.706 1.563 1.105
4.802 5.193 1.105
4.802 2.773 4.527
6.898 1.563 1.105
12.590 3.822 2.702
14.407 6.239 4.411
12.606 9.358 4.411
14.407 10.397 7.352
9.605 8.993 2.702
9.605 2.070 1.464
6.595 3.808 6.379
9.605 5.545 7.577
16.208 9.358 4.411
6.619 3.822 2.702
16.208 7.278 7.352
12.615 7.283 1.464
9.605 9.021 6.379
6.595 7.283 1.464
12.606 7.278 7.352
12.615 3.808 6.379
8.081 6.425 4.543
9.605 3.786 4.543
11.129 6.425 4.543
9.605 5.545 2.055
```

Summary:
ΔH_f (0 K) in meV per atom: -149
Energy relative to the lowest polymorph listed for this composition in meV/atom: 0
Fermi-level density of states in states/eV/f.u.: 4.49
Volume in Å³ per atom: 26.10
SG: F-43m


[4]
Here is a relaxed structure of PmTm3Sc2 from Alexandria via LeMat-Bulk. Energies are from PBE-GGA.

POSCAR file:
```
PmTm3Sc2
1.0
5.427 0.000 0.000
0.000 8.048 -3.006
0.000 -0.154 8.590
Sc Tm Pm
4 6 2
Cartesian
2.675 3.799 4.562
5.389 4.095 1.022
5.389 2.328 3.521
2.675 5.566 2.063
5.389 2.832 6.538
2.675 5.062 -0.954
2.675 7.147 5.056
5.389 7.108 0.493
2.675 0.786 5.091
5.389 0.746 0.528
2.675 2.145 1.517
5.389 5.749 4.067
```

Summary:
ΔH_f (0 K) in meV per atom: 307
Energy relative to the lowest polymorph listed for this composition in meV/atom: 159
Fermi-level density of states in states/eV/f.u.: 10.95
Volume in Å³ per atom: 31.05
SG: Cmcm


[5]
Here is a relaxed structure of TbCeY5Er2 from Alexandria via LeMat-Bulk. Energies are from PBE-GGA.

POSCAR file:
```
TbCeY5Er2
1.0
5.709 0.000 0.000
-2.855 10.737 0.000
0.000 0.000 9.590
Y Ce Tb Er
10 2 2 4
Cartesian
2.855 2.357 5.206
0.000 8.380 0.411
2.855 10.450 4.913
0.000 5.724 3.198
2.855 4.187 2.019
2.855 5.013 7.992
0.000 10.127 7.162
0.000 6.550 6.814
0.000 0.287 0.118
2.855 0.609 2.367
0.000 4.072 0.203
2.855 6.665 4.998
0.000 8.646 4.085
2.855 2.091 8.880
0.000 2.435 3.081
0.000 2.830 6.805
2.855 8.301 7.876
2.855 7.907 2.010
```

Summary:
ΔH_f (0 K) in meV per atom: 172
Fermi-level density of states in states/eV/f.u.: 16.31
Volume in Å³ per atom: 32.66
SG: Cmc2_1


[6]
Here is a relaxed structure of KZrNi2Se from Alexandria via LeMat-Bulk. Energies are from PBE-GGA.

POSCAR file:
```
KZrNi2Se
1.0
-0.728 1.828 4.167
-4.831 -1.466 -0.201
1.136 -4.013 1.959
K Zr Se Ni
1 1 1 2
Cartesian
-2.212 -1.826 2.962
-2.415 -0.733 -0.101
0.000 0.000 0.000
-0.364 0.914 2.084
0.568 -2.007 0.979
```

Summary:
Fermi-level density of states in states/eV/f.u.: 6.69
Volume in Å³ per atom: 21.46
Formation energy (no corrections) in meV/atom: 388
SG: P4/mmm


[7]
Here is a relaxed structure of Tl2ReSe2Cl4 from Alexandria via LeMat-Bulk. Energies are from PBE-GGA.

POSCAR file:
```
Tl2ReSe2Cl4
1.0
6.009 -0.424 -0.288
0.806 6.975 0.430
0.806 2.961 6.330
Cl Tl Se Re
4 2 2 1
Cartesian
2.370 2.971 4.257
5.251 4.462 5.271
5.251 6.541 2.215
2.370 5.051 1.201
4.695 2.930 1.994
2.927 6.582 4.478
1.735 1.434 0.976
5.886 8.078 5.496
3.004 -0.212 -0.144
```

Summary:
Fermi-level density of states in states/eV/f.u.: 0.56
Volume in Å³ per atom: 28.95
Formation energy (no corrections) in meV/atom: -502
SG: C2/m


[8]
Here is a relaxed structure of NaGe3C from Alexandria via LeMat-Bulk. Energies are from PBE-GGA.

POSCAR file:
```
NaGe3C
1.0
5.003 0.000 0.000
0.000 5.003 0.000
0.000 0.000 5.003
Ge C Na
3 1 1
Cartesian
0.000 0.000 2.502
2.502 0.000 0.000
0.000 2.502 0.000
2.502 2.502 2.502
0.000 0.000 0.000
```

Summary:
ΔH_f (0 K) in meV per atom: 2276
Energy relative to the lowest polymorph listed for this composition in meV/atom: 1382
Fermi-level density of states in states/eV/f.u.: 2.61
Volume in Å³ per atom: 25.05
SG: Pm-3m


[9]
Here is a relaxed structure of Pm3Al3Ag from Alexandria via LeMat-Bulk. Energies are from PBE-GGA.

POSCAR file:
```
Pm3Al3Ag
1.0
4.505 0.000 -0.983
-0.184 3.640 -0.846
-0.066 0.517 10.515
Pm Al Ag
3 3 1
Cartesian
1.190 3.251 5.456
0.007 0.008 0.033
3.066 0.908 3.238
2.436 2.127 0.347
3.768 1.690 6.455
0.481 2.459 2.204
1.817 2.027 8.329
```

Summary:
ΔH_f (0 K) in meV per atom: -360
Fermi-level density of states in states/eV/f.u.: 6.94
Volume in Å³ per atom: 24.90
SG: Imm2


[10]
Here is a relaxed structure of Rb2TeF from Alexandria via LeMat-Bulk. Energies are from PBE-GGA.

POSCAR file:
```
Rb2TeF
1.0
8.250 0.000 0.000
0.000 8.250 0.000
4.125 4.125 4.650
Rb Te F
4 2 2
Cartesian
2.894 6.188 1.163
10.313 9.481 3.488
5.356 2.063 1.163
6.188 7.019 3.488
8.250 4.125 2.325
0.000 0.000 0.000
4.125 8.250 2.325
4.125 4.125 0.000
```

Summary:
Energy relative to the lowest polymorph listed for this composition in meV/atom: 84
Fermi-level density of states in states/eV/f.u.: 0.40
Volume in Å³ per atom: 39.56
Formation energy (no corrections) in meV/atom: -1514
SG: I-42d


[11]
Here is a relaxed structure of HoVI from Alexandria via LeMat-Bulk. Energies are from PBE-GGA.

POSCAR file:
```
HoVI
1.0
-3.436 0.859 -1.790
-2.115 -2.952 -1.740
-2.309 1.681 14.011
I Ho V
2 2 2
Cartesian
-4.578 1.132 5.929
-4.764 1.232 10.724
-3.804 -0.752 3.547
-1.637 -0.051 -0.275
-0.879 0.149 2.781
-4.559 -0.914 0.500
```

Summary:
Fermi-level density of states in states/eV/f.u.: 1.45
Volume in Å³ per atom: 29.92
Formation energy (no corrections) in meV/atom: -414
SG: P1


[12]
Here is a relaxed structure of Pm8GeSe3S4 from Alexandria via LeMat-Bulk. Energies are from PBE-GGA.

POSCAR file:
```
Pm8GeSe3S4
1.0
-1.974 6.279 -4.983
-6.923 -3.935 -2.216
1.571 1.402 7.983
S Pm Se Ge
4 8 3 1
Cartesian
0.000 0.000 0.000
-0.202 3.840 1.500
0.785 0.701 3.991
-0.987 3.140 -2.492
-1.292 1.307 2.159
-1.578 5.159 3.619
-4.984 -0.730 1.054
-6.761 1.807 -5.390
-2.343 4.476 -0.270
-5.749 -1.413 -2.835
-0.565 1.939 6.174
-6.035 2.438 -1.375
-3.663 1.873 0.392
-4.449 1.172 -3.599
-2.676 -1.267 2.883
-3.462 -1.967 -1.108
```

Summary:
Fermi-level density of states in states/eV/f.u.: 5.99
Volume in Å³ per atom: 24.91
Formation energy (no corrections) in meV/atom: -1844
SG: R-3m


[13]
Here is a relaxed structure of CePu2ScS4 from Alexandria via LeMat-Bulk. Energies are from PBE-GGA.

POSCAR file:
```
CePu2ScS4
1.0
3.892 0.000 0.000
0.000 6.841 0.151
0.000 -2.359 6.281
Sc Pu S Ce
1 2 4 1
Cartesian
0.000 0.000 0.000
1.946 -1.179 3.141
0.000 2.241 3.216
0.000 4.631 1.672
0.000 -0.150 4.759
1.946 1.047 1.535
1.946 3.434 4.897
1.946 3.420 0.075
```

Summary:
Fermi-level density of states in states/eV/f.u.: 15.30
Volume in Å³ per atom: 21.08
Formation energy (no corrections) in meV/atom: -1844
SG: P2/m


[14]
Here is a relaxed structure of LiTbErRh from Alexandria via LeMat-Bulk. Energies are from PBE-GGA.

POSCAR file:
```
LiTbErRh
1.0
4.920 0.000 0.000
2.460 4.261 0.000
2.460 1.420 4.017
Rh Tb Li Er
1 1 1 1
Cartesian
4.920 2.841 2.009
7.380 4.261 3.013
0.000 0.000 0.000
2.460 1.420 1.004
```

Summary:
ΔH_f (0 K) in meV per atom: -493
Fermi-level density of states in states/eV/f.u.: 2.73
Volume in Å³ per atom: 21.05
SG: F-43m


[15]
Here is a relaxed structure of SrLiMgRh from Alexandria via LeMat-Bulk. Energies are from PBE-GGA.

POSCAR file:
```
SrLiMgRh
1.0
4.966 0.000 0.000
2.483 4.300 0.000
2.483 1.433 4.054
Sr Li Rh Mg
1 1 1 1
Cartesian
7.448 4.300 3.041
4.966 2.867 2.027
0.000 0.000 0.000
2.483 1.433 1.014
```

Summary:
ΔH_f (0 K) in meV per atom: -135
Fermi-level density of states in states/eV/f.u.: 2.40
Volume in Å³ per atom: 21.64
SG: F-43m


[16]
Here is a relaxed structure of K3Ge2Sb2 from Alexandria via LeMat-Bulk. Energies are from PBE-GGA.

POSCAR file:
```
K3Ge2Sb2
1.0
-3.342 2.318 -1.787
-3.549 -2.486 3.412
4.893 7.494 6.091
Ge K Sb
2 3 2
Cartesian
-3.270 0.815 1.650
1.272 6.511 6.066
-0.851 3.484 6.110
-1.147 3.842 1.606
0.000 0.000 0.000
-0.623 6.525 4.106
-1.375 0.801 3.611
```

Summary:
Fermi-level density of states in states/eV/f.u.: 2.93
Volume in Å³ per atom: 35.81
Formation energy (no corrections) in meV/atom: -252
SG: Immm


[17]
Here is a relaxed structure of In2Au7 from Alexandria via LeMat-Bulk. Energies are from PBE-GGA.

POSCAR file:
```
In2Au7
1.0
5.632 0.000 0.000
2.816 4.877 0.000
2.816 1.626 13.959
Au In
14 4
Cartesian
5.632 1.602 9.230
7.060 2.427 4.729
2.816 1.626 2.358
7.060 4.076 9.230
5.632 4.901 4.729
4.203 4.076 9.230
1.408 2.439 0.000
4.203 2.427 4.729
5.632 3.251 11.598
2.816 0.000 0.000
8.448 4.877 11.601
5.632 3.251 6.979
4.224 2.439 0.000
5.632 3.251 2.361
2.816 1.626 7.964
2.816 1.626 12.005
8.448 4.877 1.954
8.448 4.877 5.995
```

Summary:
ΔH_f (0 K) in meV per atom: -18
Fermi-level density of states in states/eV/f.u.: 4.69
Volume in Å³ per atom: 21.30
SG: R-3m


[18]
Here is a relaxed structure of Nb3AlV from Alexandria via LeMat-Bulk. Energies are from PBE-GGA.

POSCAR file:
```
Nb3AlV
1.0
-0.817 -1.226 -4.398
1.693 -4.231 0.865
-4.240 -1.453 1.193
Al V Nb
1 1 3
Cartesian
-1.682 -3.455 -1.170
0.000 0.000 0.000
-0.409 -0.613 -2.199
-2.120 -0.727 0.597
0.847 -2.116 0.432
```

Summary:
ΔH_f (0 K) in meV per atom: 844
Energy relative to the lowest polymorph listed for this composition in meV/atom: 0
Fermi-level density of states in states/eV/f.u.: 3.38
Volume in Å³ per atom: 19.96
SG: Pm-3m


[19]
Here is a relaxed structure of Sr3Ho3ScSe8 from Alexandria via LeMat-Bulk. Energies are from PBE-GGA.

POSCAR file:
```
Sr3Ho3ScSe8
1.0
-0.464 6.615 -4.885
4.308 -6.598 -2.399
-8.555 -0.496 0.140
Ho Se Sc Sr
3 8 1 3
Cartesian
-4.509 3.059 -2.373
-2.123 -3.547 -1.129
-2.355 -0.239 -3.572
-2.679 4.806 -3.730
-4.236 -1.913 -2.188
-4.488 1.345 -4.695
-2.442 1.425 -1.233
-0.221 -1.824 -2.449
-2.268 -1.904 -5.911
-0.474 1.434 -4.957
-2.031 -5.285 -3.414
-4.277 -0.248 0.070
2.154 -3.299 -1.199
0.000 0.000 0.000
1.922 0.009 -3.642
```

Summary:
Fermi-level density of states in states/eV/f.u.: 3.95
Volume in Å³ per atom: 27.93
Formation energy (no corrections) in meV/atom: -1893
SG: R-3m


[20]
Here is a relaxed structure of PrCuNi2 from Alexandria via LeMat-Bulk. Energies are from PBE-GGA.

POSCAR file:
```
PrCuNi2
1.0
-1.466 -0.366 3.851
-3.615 -1.898 0.665
0.551 -4.868 1.968
Ni Pr Cu
2 1 1
Cartesian
-0.769 -2.450 1.696
-3.761 -4.683 4.788
0.000 0.000 0.000
-2.265 -3.566 3.242
```

Summary:
ΔH_f (0 K) in meV per atom: -232
Fermi-level density of states in states/eV/f.u.: 2.55
Volume in Å³ per atom: 17.44
SG: R-3m